First-principles (PBE) data for crystalline LiBC at its relaxed geometry, as listed in Alexandria via LeMat-Bulk.

Space-group type   I4mm, No. 107
Calculated formation energy   1.26 eV/atom
E_tot   -4.6795 eV per atom

The structure in extended XYZ format:
```
3
Lattice="2.956 0.000 0.000 0.000 2.956 0.000 -1.478 -1.478 2.641" Properties=species:S:1:pos:R:3 pbc="T T T"
B 0.000 0.000 1.632
C 1.478 1.478 0.502
Li 1.478 1.478 2.354
```